Entry 1:
VRu2PtW | PBE | optimized geometry

Output
Raw total energy, eV per cell: -35.7
Theoretical density, g cm⁻³: 9.957
Magnetic moment, μB per formula unit: 2.51
Space-group type: P4/mmm

a b c (Å): 4.7367 4.6976 4.7367
angles (deg): 90.00 90.00 90.00
Closest atoms and distances in Å follow each position.
Fractional coordinates of all 5 atoms:
V 0.5000 0.5000 0.5000  8 Ru 3.34, 4 W 3.35
W 0.0000 0.5000 0.0000  2 Pt 2.35
Pt 0.0000 0.0000 0.0000  2 W 2.35, 4 Ru 2.37
Ru 0.0000 0.0000 0.5000  2 Pt 2.37
Ru 0.5000 0.0000 0.0000  2 Pt 2.37

Entry 2:
KVFeSe3 | PBE | optimized geometry

Output
Raw total energy, eV per cell: -67.3
Uncorrected formation energy, eV per atom: -0.756
Theoretical density, g cm⁻³: 4.694
Magnetic moment, μB per formula unit: 1.85
Space-group type: P2_1/m

a b c (Å): 3.6356 8.5009 9.7797
angles (deg): 116.36 90.00 90.00
Closest atoms and distances in Å follow each position.
Fractional coordinates of all 12 atoms:
V 0.2500 0.7023 0.1751  6 Se 2.51-2.61, 2 Fe 2.79
V 0.7500 0.2977 0.8249  6 Se 2.51-2.61, 2 Fe 2.79
Se 0.2500 0.7559 0.4490  3 Fe 2.46-2.51, 1 V 2.51
Se 0.2500 0.1100 0.8570  1 Fe 2.38, 2 V 2.53
Se 0.7500 0.2441 0.5510  3 Fe 2.46-2.51, 1 V 2.51
Se 0.7500 0.8900 0.1430  1 Fe 2.38, 2 V 2.53
Se 0.2500 0.5341 0.8771  3 V 2.59-2.61
Se 0.7500 0.4659 0.1229  3 V 2.59-2.61
Fe 0.7500 0.9162 0.3952  4 Se 2.38-2.51, 2 Fe 2.64
Fe 0.2500 0.0838 0.6048  4 Se 2.38-2.51, 2 Fe 2.64
K 0.7500 0.7475 0.7381  7 Se 3.26-3.59, 2 K 3.64
K 0.2500 0.2525 0.2619  7 Se 3.26-3.59, 2 K 3.64

Entry 3:
CsRbPO2 | PBE | optimized geometry

Output
Raw total energy, eV per cell: -14.4
Uncorrected formation energy, eV per atom: 0.541
Theoretical density, g cm⁻³: 3.566
Magnetic moment, μB per formula unit: 1.81
Space-group type: P4/mmm

a b c (Å): 4.8028 4.8028 5.6797
angles (deg): 90.00 90.00 90.00
Closest atoms and distances in Å follow each position.
Fractional coordinates of all 5 atoms:
O 0.0000 0.5000 0.0000  2 Cs 2.40
O 0.5000 0.0000 0.0000  2 Cs 2.40
Cs 0.0000 0.0000 0.0000  4 O 2.40
P 0.0000 0.0000 0.5000  2 Cs 2.84
Rb 0.5000 0.5000 0.5000  4 P 3.40, 8 O 3.72

Entry 4:
MgTl2Pb4 | PBE | optimized geometry

Output
Raw total energy, eV per cell: -19.0
Theoretical density, g cm⁻³: 8.424
Magnetic moment, μB per formula unit: 0.00
Space-group type: I4/mmm

a b c (Å): 5.5726 5.5726 8.9265
angles (deg): 108.19 108.19 90.00
Closest atoms and distances in Å follow each position.
Fractional coordinates of all 7 atoms:
Pb 0.8200 0.8200 0.6399  1 Mg 2.88, 1 Tl 3.14
Pb 0.0000 0.5000 0.0000  2 Mg 2.79
Pb 0.5000 0.0000 0.0000  2 Mg 2.79
Pb 0.1800 0.1800 0.3601  1 Mg 2.88, 1 Tl 3.14
Mg 0.0000 0.0000 0.0000  6 Pb 2.79-2.88
Tl 0.3759 0.3759 0.7518  5 Pb 3.14-3.42
Tl 0.6241 0.6241 0.2482  5 Pb 3.14-3.42

Entry 5:
TcGeIr3 | PBE | optimized geometry

Output
Raw total energy, eV per cell: -34.6
Theoretical density, g cm⁻³: 13.296
Magnetic moment, μB per formula unit: 4.46
Space-group type: Pm-3m

a b c (Å): 4.5360 4.5360 4.5360
angles (deg): 90.00 90.00 90.00
Closest atoms and distances in Å follow each position.
Fractional coordinates of all 5 atoms:
Ir 0.5000 0.0000 0.0000  2 Ge 2.27
Ir 0.0000 0.5000 0.0000  2 Ge 2.27
Ir 0.0000 0.0000 0.5000  2 Ge 2.27
Tc 0.5000 0.5000 0.5000  12 Ir 3.21
Ge 0.0000 0.0000 0.0000  6 Ir 2.27

Entry 6:
KAlFe | PBE | optimized geometry

Output
Raw total energy, eV per cell: -10.0
Theoretical density, g cm⁻³: 2.555
Magnetic moment, μB per formula unit: 2.53
Space-group type: F-43m

a b c (Å): 4.8213 4.8213 4.8213
angles (deg): 60.00 60.00 60.00
Closest atoms and distances in Å follow each position.
Fractional coordinates of all 3 atoms:
K 0.0000 0.0000 0.0000  4 Fe 2.95
Al 0.5000 0.5000 0.5000  4 Fe 2.95
Fe 0.7500 0.7500 0.7500  4 Al 2.95, 4 K 2.95

Entry 7:
LiTmGe | PBE | optimized geometry

Output
Raw total energy, eV per cell: -11.9
Theoretical density, g cm⁻³: 6.574
Magnetic moment, μB per formula unit: 0.00
Space-group type: I4mm

a b c (Å): 3.9148 3.9148 4.9433
angles (deg): 113.33 113.33 90.00
Closest atoms and distances in Å follow each position.
Fractional coordinates of all 3 atoms:
Ge 0.2704 0.2704 0.5409  1 Li 2.59
Tm 0.6250 0.6250 0.2499  1 Li 2.70, 5 Ge 2.90-3.01
Li 0.9546 0.9546 0.9092  1 Ge 2.59, 1 Tm 2.70

Entry 8:
Sm2Dy3Hg7 | PBE | optimized geometry

Output
Raw total energy, eV per cell: -29.0
Theoretical density, g cm⁻³: 11.048
Magnetic moment, μB per formula unit: 0.00
Space-group type: Cmmm

a b c (Å): 5.4326 5.2257 11.8974
angles (deg): 102.69 90.00 90.00
Closest atoms and distances in Å follow each position.
Fractional coordinates of all 12 atoms:
Hg 0.0000 0.4264 0.8528  2 Sm 3.09, 4 Hg 3.12-3.44, 4 Dy 3.21-3.43
Hg 0.0000 0.7217 0.4435  2 Hg 2.92, 2 Dy 3.03, 3 Sm 3.11-3.17
Hg 0.0000 0.5736 0.1472  2 Sm 3.09, 4 Hg 3.12-3.44, 4 Dy 3.21-3.43
Hg 0.0000 0.2783 0.5565  2 Hg 2.92, 2 Dy 3.03, 3 Sm 3.11-3.17
Hg 0.5000 0.9190 0.8381  2 Sm 3.09, 4 Dy 3.22-3.25, 2 Hg 3.30
Hg 0.5000 0.0810 0.1619  2 Sm 3.09, 4 Dy 3.22-3.25, 2 Hg 3.30
Hg 0.0000 0.0000 0.0000  8 Hg 3.12-3.30, 2 Sm 3.35
Sm 0.0000 0.8555 0.7110  8 Hg 3.09-3.35
Sm 0.0000 0.1445 0.2890  8 Hg 3.09-3.35
Dy 0.5000 0.5000 0.0000  8 Hg 3.21-3.22
Dy 0.5000 0.3358 0.6716  4 Hg 3.03-3.25
Dy 0.5000 0.6642 0.3284  4 Hg 3.03-3.25

Entry 9:
LiTiGaHg | PBE | optimized geometry

Output
Raw total energy, eV per cell: -13.9
Theoretical density, g cm⁻³: 7.870
Magnetic moment, μB per formula unit: 0.00
Space-group type: F-43m

a b c (Å): 4.5949 4.5949 4.5949
angles (deg): 60.00 60.00 60.00
Closest atoms and distances in Å follow each position.
Fractional coordinates of all 4 atoms:
Ga 0.0000 0.0000 0.0000  4 Li 2.81, 4 Ti 2.81
Hg 0.5000 0.5000 0.5000  4 Li 2.81, 4 Ti 2.81
Ti 0.2500 0.2500 0.2500  4 Hg 2.81, 4 Ga 2.81
Li 0.7500 0.7500 0.7500  4 Hg 2.81, 4 Ga 2.81

Entry 10:
La3Ag2 | PBE | optimized geometry

Output
Raw total energy, eV per cell: -20.8
Theoretical density, g cm⁻³: 6.587
Magnetic moment, μB per formula unit: 1.32
Space-group type: P-3m1

a b c (Å): 5.3207 5.3207 6.5034
angles (deg): 90.00 90.00 120.00
Closest atoms and distances in Å follow each position.
Fractional coordinates of all 5 atoms:
Ag 0.3333 0.6667 0.8405  8 La 3.24-3.30
Ag 0.6667 0.3333 0.1595  8 La 3.24-3.30
La 0.0000 0.0000 0.0000  6 Ag 3.24
La 0.3333 0.6667 0.3428  5 Ag 3.24-3.30
La 0.6667 0.3333 0.6572  5 Ag 3.24-3.30

Entry 11:
Ba2AcPmSe4 | PBE | optimized geometry

Output
Raw total energy, eV per cell: -42.1
Uncorrected formation energy, eV per atom: -1.926
Theoretical density, g cm⁻³: 6.168
Magnetic moment, μB per formula unit: 0.00
Space-group type: P2/m

a b c (Å): 4.4736 7.7351 7.9201
angles (deg): 109.01 90.00 90.00
Closest atoms and distances in Å follow each position.
Fractional coordinates of all 8 atoms:
Se 0.0000 0.2475 0.7707  1 Pm 3.04, 2 Ac 3.13, 3 Ba 3.25-3.34
Se 0.0000 0.7525 0.2293  1 Pm 3.04, 2 Ac 3.13, 3 Ba 3.25-3.34
Se 0.5000 0.2330 0.2241  2 Pm 3.05, 1 Ac 3.13, 3 Ba 3.25-3.33
Se 0.5000 0.7670 0.7759  2 Pm 3.05, 1 Ac 3.13, 3 Ba 3.25-3.33
Ac 0.5000 0.5000 0.0000  6 Se 3.13
Pm 0.0000 0.0000 0.0000  6 Se 3.04-3.05
Ba 0.5000 0.0000 0.5000  6 Se 3.25
Ba 0.0000 0.5000 0.5000  6 Se 3.33-3.34

Entry 12:
CdPd3Br | PBE | optimized geometry

Output
Raw total energy, eV per cell: -14.2
Uncorrected formation energy, eV per atom: 0.789
Theoretical density, g cm⁻³: 6.631
Magnetic moment, μB per formula unit: 0.00
Space-group type: Pm-3m

a b c (Å): 5.0411 5.0411 5.0411
angles (deg): 90.00 90.00 90.00
Closest atoms and distances in Å follow each position.
Fractional coordinates of all 5 atoms:
Pd 0.0000 0.0000 0.5000  2 Cd 2.52
Pd 0.5000 0.0000 0.0000  2 Cd 2.52
Pd 0.0000 0.5000 0.0000  2 Cd 2.52
Cd 0.0000 0.0000 0.0000  6 Pd 2.52
Br 0.5000 0.5000 0.5000  12 Pd 3.56

Which formula does entry 7 have? LiTmGe

Please write out number 4 again, unchanged.
MgTl2Pb4 | PBE | optimized geometry

Output
Raw total energy, eV per cell: -19.0
Theoretical density, g cm⁻³: 8.424
Magnetic moment, μB per formula unit: 0.00
Space-group type: I4/mmm

a b c (Å): 5.5726 5.5726 8.9265
angles (deg): 108.19 108.19 90.00
Closest atoms and distances in Å follow each position.
Fractional coordinates of all 7 atoms:
Pb 0.8200 0.8200 0.6399  1 Mg 2.88, 1 Tl 3.14
Pb 0.0000 0.5000 0.0000  2 Mg 2.79
Pb 0.5000 0.0000 0.0000  2 Mg 2.79
Pb 0.1800 0.1800 0.3601  1 Mg 2.88, 1 Tl 3.14
Mg 0.0000 0.0000 0.0000  6 Pb 2.79-2.88
Tl 0.3759 0.3759 0.7518  5 Pb 3.14-3.42
Tl 0.6241 0.6241 0.2482  5 Pb 3.14-3.42